9
Lattice="3.676 0.000 0.000 -1.838 3.183 0.000 0.000 0.000 27.519" Properties=species:S:1:pos:R:3 comment="GGA-PBE La2Pm4Nd3, relaxed" rho_kg_m3=6655 crystal_system=trigonal formation_energy_ev_per_atom=0.06 dos_ef_per_ev_atom=1.827 relative_energy_mev_per_atom=41.7 dft_energy_ev_per_atom=-4.738 pbc="T T T"
Pm 0.000 0.000 11.698
Pm 0.000 0.000 27.245
Pm 1.838 1.061 18.170
Pm 1.838 1.061 8.708
Nd 1.838 1.061 2.712
Nd 0.000 0.000 21.035
Nd 0.000 0.000 5.740
La 1.838 1.061 14.684
La 1.838 1.061 24.224